## La4Ti5S12O2 (GGA-PBEsol)

Data for crystalline La4Ti5S12O2 at its relaxed geometry.

a b c (Å): 10.248 8.301 10.255
angles (deg): 90.00 90.31 90.00
Space group Pm (No. 6)
One atom of each set of equivalent atoms:
La (0.000, 0.234, 0.000) (multiplicity 2)
La (0.575, 0.244, 0.415) (multiplicity 2)
La (0.592, 0.236, 0.993) (multiplicity 2)
La (0.998, 0.236, 0.411) (multiplicity 2)
Ti (0.089, 0.000, 0.706) (multiplicity 1)
Ti (0.289, 0.000, 0.497) (multiplicity 1)
Ti (0.293, 0.000, 0.908) (multiplicity 1)
Ti (0.293, 0.500, 0.705) (multiplicity 1)
Ti (0.295, 0.000, 0.207) (multiplicity 1)
Ti (0.318, 0.500, 0.013) (multiplicity 1)
Ti (0.499, 0.000, 0.705) (multiplicity 1)
Ti (0.790, 0.000, 0.701) (multiplicity 1)
Ti (0.806, 0.500, 0.199) (multiplicity 1)
Ti (0.993, 0.500, 0.712) (multiplicity 1)
S (0.039, 0.500, 0.203) (multiplicity 1)
S (0.053, 0.000, 0.204) (multiplicity 1)
S (0.130, 0.500, 0.537) (multiplicity 1)
S (0.138, 0.500, 0.878) (multiplicity 1)
S (0.287, 0.222, 0.363) (multiplicity 2)
S (0.289, 0.185, 0.708) (multiplicity 2)
S (0.293, 0.221, 0.055) (multiplicity 2)
S (0.452, 0.500, 0.538) (multiplicity 1)
S (0.472, 0.500, 0.854) (multiplicity 1)
S (0.528, 0.500, 0.180) (multiplicity 1)
S (0.529, 0.000, 0.205) (multiplicity 1)
S (0.634, 0.222, 0.704) (multiplicity 2)
S (0.788, 0.223, 0.204) (multiplicity 2)
S (0.789, 0.000, 0.466) (multiplicity 1)
S (0.794, 0.500, 0.443) (multiplicity 1)
S (0.796, 0.000, 0.940) (multiplicity 1)
S (0.805, 0.500, 0.950) (multiplicity 1)
S (0.942, 0.222, 0.706) (multiplicity 2)
O (0.099, 0.000, 0.516) (multiplicity 1)
O (0.102, 0.000, 0.896) (multiplicity 1)
O (0.478, 0.000, 0.516) (multiplicity 1)
O (0.482, 0.000, 0.895) (multiplicity 1)

The value obtained for the uncorrected formation energy is -2.0038 eV per atom. The magnetization comes out at 0.3 μB per cell.